Computed, not measured: a geometry-optimized LaVSe3 structure at the PBE level of DFT.

Cell lengths 8.0796, 6.3876, 9.4845 Å; angles 90.00, 98.17, 90.00 degrees
With the nearest neighbours (Å) after each atom.
Space group P2_1/c (No. 14)
Inequivalent atoms, fractional coordinates:
La (0.1583, 0.2355, 0.1678) (multiplicity 4)  5 Se 2.92-3.15
V (0.4086, 0.7448, 0.5827) (multiplicity 4)  6 Se 2.50-2.64
Se (0.0939, 0.7141, 0.1152) (multiplicity 4)  1 V 2.62
Se (0.3128, 0.0656, 0.9315) (multiplicity 4)  2 V 2.50-2.55
Se (0.4465, 0.5817, 0.8364) (multiplicity 4)  3 V 2.52-2.64

Values from the calculation:
Uncorrected formation energy ... -1275 meV per atom
ρ ... 5.85 g/cm³
Relative energy among the computed polymorphs ... 0 meV/atom

Computed, not measured: a geometry-optimized TbMn2Cr structure at the PBE level of DFT.

Cell lengths 3.0079, 3.0079, 26.1546 Å; angles 90.00, 90.00, 120.00 degrees
With the nearest neighbours (Å) after each atom.
Space group R-3m (No. 166, hexagonal axes)
Inequivalent atoms, fractional coordinates:
Tb (0.0000, 0.0000, 0.0000) (multiplicity 3)  6 Tb 3.01, 6 Mn 3.11
Mn (0.0000, 0.0000, 0.2345) (multiplicity 6)  3 Cr 2.48
Cr (0.0000, 0.0000, 0.5000) (multiplicity 3)  6 Mn 2.48

Values from the calculation:
ρ ... 7.80 g/cm³
Energy relative to the elements ... 576 meV/atom

Computed, not measured: a geometry-optimized PuH2Pb2O6 structure at the PBE level of DFT.

Cell lengths 5.3818, 5.3818, 16.2361 Å; angles 90.00, 90.00, 120.00 degrees
With the nearest neighbours (Å) after each atom.
Space group R-3m (No. 166, hexagonal axes)
Inequivalent atoms, fractional coordinates:
Pu (0.0000, 0.0000, 0.0000) (multiplicity 3)  6 O 2.08
H (0.0000, 0.0000, 0.4116) (multiplicity 6)  3 O 1.46
Pb (0.0000, 0.0000, 0.2211) (multiplicity 6)  9 O 2.75-2.85
O (0.0209, 0.5105, 0.2557) (multiplicity 18)  1 H 1.46

Values from the calculation:
ρ ... 9.25 g/cm³
VASP energy ... -216.95 eV for the cell shown

Computed, not measured: a geometry-optimized CsBiIN2 structure at the PBE level of DFT.

Cell lengths 4.9279, 4.9279, 6.6231 Å; angles 90.00, 90.00, 90.00 degrees
With the nearest neighbours (Å) after each atom.
Space group P4/mmm (No. 123)
Inequivalent atoms, fractional coordinates:
Cs (0.0000, 0.0000, 0.0000) (multiplicity 1)  4 I 3.48
Bi (0.5000, 0.5000, 0.5000) (multiplicity 1)  4 N 2.46
I (0.5000, 0.5000, 0.0000) (multiplicity 1)  2 Bi 3.31, 4 Cs 3.48
N (0.0000, 0.5000, 0.5000) (multiplicity 2)  2 Bi 2.46

Values from the calculation:
Uncorrected formation energy ... 927 meV per atom
ρ ... 5.13 g/cm³
Relative energy among the computed polymorphs ... 0 meV/atom

Computed, not measured: a geometry-optimized LiLaSi2 structure at the PBE level of DFT.

Cell lengths 3.3758, 3.3758, 7.0953 Å; angles 90.00, 90.00, 90.00 degrees
With the nearest neighbours (Å) after each atom.
Space group P4mm (No. 99)
Inequivalent atoms, fractional coordinates:
Li (0.0000, 0.0000, 0.0000) (multiplicity 1)  5 Si 2.50-2.78
La (0.5000, 0.5000, 0.6447) (multiplicity 1)  5 Si 3.14-3.16, 4 La 3.38, 4 Li 3.47
Si (0.0000, 0.0000, 0.3518) (multiplicity 1)  1 Li 2.50, 4 Si 2.61
Si (0.5000, 0.5000, 0.2022) (multiplicity 1)  4 Si 2.61, 4 Li 2.78

Values from the calculation:
Uncorrected formation energy ... -96 meV per atom
ρ ... 4.15 g/cm³
Relative energy among the computed polymorphs ... 527 meV/atom

Computed, not measured: a geometry-optimized Mn4Co3Ru structure at the PBE level of DFT.

Cell lengths 2.8841, 4.1146, 8.1887 Å; angles 90.00, 90.00, 90.00 degrees
With the nearest neighbours (Å) after each atom.
Space group Pmmm (No. 47)
Inequivalent atoms, fractional coordinates:
Mn (0.0000, 0.0000, 0.0000) (multiplicity 1)  8 Co 2.49-2.51
Mn (0.0000, 0.0000, 0.5000) (multiplicity 1)  4 Ru 2.51, 4 Co 2.52
Mn (0.0000, 0.5000, 0.2422) (multiplicity 2)  6 Co 2.45-2.51, 2 Ru 2.56
Co (0.5000, 0.0000, 0.2478) (multiplicity 2)  8 Mn 2.49-2.52
Co (0.5000, 0.5000, 0.0000) (multiplicity 1)  8 Mn 2.45-2.51
Ru (0.5000, 0.5000, 0.5000) (multiplicity 1)  8 Mn 2.51-2.56

Values from the calculation:
ρ ... 8.50 g/cm³
Energy relative to the elements ... 25 meV/atom